[1]
First-principles (PBE) data for ErNb6Cd3 after structural relaxation, as listed in OQMD via LeMat-Bulk.

```
ErNb6Cd3
1.0
-3.542 3.542 5.401
3.542 -3.542 5.401
3.542 3.542 -5.401
Er Nb Cd
1 6 3
Cartesian
0.000 0.000 0.000
2.439 0.000 0.000
4.645 0.000 0.000
0.000 0.000 2.567
0.000 2.439 0.000
0.000 4.645 0.000
0.000 0.000 8.234
3.542 0.000 2.700
0.000 0.000 5.401
0.000 3.542 2.700
```

The crystal system is tetragonal. The value obtained for the total energy is -5.053 eV/atom. Its formation energy is 1729 meV per atom. The value obtained for the size of the total moment is 0.47 μB/cell.

---

[2]
First-principles (PBE) data for NdErCd6 after structural relaxation, as listed in OQMD via LeMat-Bulk.

```
NdErCd6
1.0
5.076 0.000 0.000
0.000 5.076 0.000
0.000 0.000 7.249
Nd Er Cd
1 1 6
Cartesian
0.000 0.000 0.000
2.538 2.538 3.624
0.000 0.000 3.624
0.000 2.538 1.865
0.000 2.538 5.383
2.538 0.000 1.865
2.538 0.000 5.383
2.538 2.538 0.000
```

The crystal system is tetragonal. The value obtained for the total energy is -2.126 eV/atom. Its formation energy is -289 meV per atom. The value obtained for the size of the total moment is 0.01 μB/cell.

---

[3]
First-principles (PBE) data for NdEr2Tl2Cd4 after structural relaxation, as listed in OQMD via LeMat-Bulk.

```
NdEr2Tl2Cd4
1.0
4.597 0.000 0.000
0.000 6.612 3.757
0.000 -6.612 3.757
Nd Er Tl Cd
1 2 2 4
Cartesian
0.000 0.000 0.000
0.000 -2.824 4.794
0.000 2.824 4.794
2.299 -4.361 3.193
2.299 4.361 3.193
0.000 0.000 3.271
2.299 -1.573 2.309
2.299 1.573 2.309
2.299 0.000 5.021
```

The crystal system is orthorhombic. The value obtained for the total energy is -2.792 eV/atom. The value obtained for the size of the total moment is 0.01 μB/cell.

---

[4]
First-principles (PBE) data for Nd2ErTl2Zn3Cd after structural relaxation, as listed in OQMD via LeMat-Bulk.

```
Nd2ErTl2Zn3Cd
1.0
4.612 0.000 0.000
0.000 6.299 3.718
0.000 -6.299 3.718
Nd Er Tl Zn Cd
2 1 2 3 1
Cartesian
0.000 -3.635 3.718
0.000 3.635 3.718
0.000 0.000 4.743
2.306 -2.042 5.295
2.306 2.042 5.295
2.306 -1.456 2.449
2.306 1.456 2.449
2.306 0.000 7.353
0.000 0.000 1.683
```

The crystal system is orthorhombic. The value obtained for the total energy is -2.912 eV/atom. The value obtained for the size of the total moment is 0.01 μB/cell.